# MgVRuPt (PBE, relaxed)
data_MgVRuPt
_chemical_formula_sum 'Mg4 V4 Ru4 Pt4'
_cell_length_a 6.161
_cell_length_b 6.161
_cell_length_c 6.161
_cell_angle_alpha 90.00
_cell_angle_beta 90.00
_cell_angle_gamma 90.00
_space_group_name_H-M_alt 'F -4 3 m'
_space_group_IT_number 216
_space_group_name_Hall 'F -4 2 3'
loop_
_atom_site_label
_atom_site_type_symbol
_atom_site_fract_x
_atom_site_fract_y
_atom_site_fract_z
Mg1 Mg 0.000 0.000 0.000
V1 V 0.000 0.000 0.500
Ru1 Ru 0.250 0.250 0.750
Pt1 Pt 0.250 0.250 0.250
# - ΔH_f (0 K) (eV per atom) = -0.373
# - D(E_F) (states/eV per atom) = 1.018
# - V (Å³ per cell) = 233.8
# - density (g cm⁻³) = 10.551

---

# MgZrRuPt (PBE, relaxed)
data_MgZrRuPt
_chemical_formula_sum 'Mg4 Zr4 Ru4 Pt4'
_cell_length_a 6.456
_cell_length_b 6.456
_cell_length_c 6.456
_cell_angle_alpha 90.00
_cell_angle_beta 90.00
_cell_angle_gamma 90.00
_space_group_name_H-M_alt 'F -4 3 m'
_space_group_IT_number 216
_space_group_name_Hall 'F -4 2 3'
loop_
_atom_site_label
_atom_site_type_symbol
_atom_site_fract_x
_atom_site_fract_y
_atom_site_fract_z
Mg1 Mg 0.000 0.000 0.000
Zr1 Zr 0.000 0.000 0.500
Ru1 Ru 0.250 0.250 0.250
Pt1 Pt 0.250 0.250 0.750
# - ΔH_f (0 K) (eV per atom) = -0.700
# - D(E_F) (states/eV per atom) = 0.324
# - V (Å³ per cell) = 269.1
# - density (g cm⁻³) = 10.163

---

# MgPtS (PBE, relaxed)
data_MgPtS
_chemical_formula_sum 'Mg2 Pt2 S2'
_cell_length_a 4.467
_cell_length_b 4.661
_cell_length_c 5.950
_cell_angle_alpha 90.00
_cell_angle_beta 111.18
_cell_angle_gamma 90.00
_space_group_name_H-M_alt 'P 1 m 1'
_space_group_IT_number 6
loop_
_space_group_symop_operation_xyz
'x,y,z'
'x,-y,z'
loop_
_atom_site_label
_atom_site_type_symbol
_atom_site_fract_x
_atom_site_fract_y
_atom_site_fract_z
Mg1 Mg 0.000 0.000 0.000
Mg2 Mg 0.312 0.500 0.633
Pt1 Pt 0.329 0.500 0.154
Pt2 Pt 0.484 0.000 0.470
S1 S 0.036 0.000 0.588
S2 S 0.767 0.500 0.036
# - D(E_F) (states/eV per atom) = 0.091
# - ΔE_f (raw) (eV/atom) = -0.631
# - V (Å³ per cell) = 115.5
# - density (g cm⁻³) = 7.229

---

# MgPtS (PBE, relaxed)
data_MgPtS
_chemical_formula_sum 'Mg2 Pt2 S2'
_cell_length_a 4.333
_cell_length_b 5.168
_cell_length_c 6.052
_cell_angle_alpha 78.82
_cell_angle_beta 74.97
_cell_angle_gamma 67.84
_space_group_name_H-M_alt 'P 1'
_space_group_IT_number 1
loop_
_space_group_symop_operation_xyz
'x,y,z'
loop_
_atom_site_label
_atom_site_type_symbol
_atom_site_fract_x
_atom_site_fract_y
_atom_site_fract_z
Mg1 Mg 0.000 0.000 0.000
Mg2 Mg 0.481 0.385 0.585
Pt1 Pt 0.321 0.409 0.044
Pt2 Pt 0.450 0.842 0.275
S1 S 0.112 0.113 0.571
S2 S 0.773 0.563 0.985
# - D(E_F) (states/eV per atom) = 0.000
# - ΔE_f (raw) (eV/atom) = -0.674
# - V (Å³ per cell) = 120.5
# - density (g cm⁻³) = 6.928

---

# MgPtS (PBE, relaxed)
data_MgPtS
_chemical_formula_sum 'Mg4 Pt4 S4'
_cell_length_a 8.092
_cell_length_b 3.667
_cell_length_c 7.551
_cell_angle_alpha 90.00
_cell_angle_beta 91.51
_cell_angle_gamma 90.00
_space_group_name_H-M_alt 'C 1 2/m 1'
_space_group_IT_number 12
loop_
_space_group_symop_operation_xyz
'x,y,z'
'-x,-y,-z'
'-x,y,-z'
'x,-y,z'
'x+1/2,y+1/2,z'
'-x+1/2,-y+1/2,-z'
'-x+1/2,y+1/2,-z'
'x+1/2,-y+1/2,z'
loop_
_atom_site_label
_atom_site_type_symbol
_atom_site_fract_x
_atom_site_fract_y
_atom_site_fract_z
Mg1 Mg 0.000 0.000 0.000
Mg2 Mg 0.000 0.500 0.500
Pt1 Pt 0.211 0.000 0.624
S1 S 0.181 0.500 0.832
# - D(E_F) (states/eV per atom) = 0.000
# - ΔE_f (raw) (eV/atom) = -0.702
# - V (Å³ per cell) = 224.0
# - density (g cm⁻³) = 7.456

---

# MgPtS2 (PBE, relaxed)
data_MgPtS2
_chemical_formula_sum 'Mg3 Pt3 S6'
_cell_length_a 3.6120
_cell_length_b 3.6120
_cell_length_c 22.7547
_cell_angle_alpha 90.00
_cell_angle_beta 90.00
_cell_angle_gamma 120.00
_space_group_name_H-M_alt 'R -3 m'
_space_group_IT_number 166
_space_group_name_Hall '-R 3 2"'
loop_
_atom_site_label
_atom_site_type_symbol
_atom_site_fract_x
_atom_site_fract_y
_atom_site_fract_z
Mg1 Mg 0.0000 0.0000 0.0000
Pt1 Pt 0.0000 0.0000 0.5000
S1 S 0.0000 0.0000 0.1118
# - D(E_F) (states/eV per atom) = 0.154
# - ΔE_f (raw) (eV/atom) = -0.279
# - V (Å³ per cell) = 257.1
# - density (g cm⁻³) = 5.494

---

# MgPtS2 (PBE, relaxed)
data_MgPtS2
_chemical_formula_sum 'Mg4 Pt4 S8'
_cell_length_a 5.337
_cell_length_b 5.337
_cell_length_c 12.098
_cell_angle_alpha 90.00
_cell_angle_beta 90.00
_cell_angle_gamma 90.00
_space_group_name_H-M_alt 'I -4 2 d'
_space_group_IT_number 122
_space_group_name_Hall 'I -4 2bw'
loop_
_atom_site_label
_atom_site_type_symbol
_atom_site_fract_x
_atom_site_fract_y
_atom_site_fract_z
Mg1 Mg 0.000 0.000 0.000
Pt1 Pt 0.000 0.000 0.500
S1 S 0.228 0.250 0.625
# - D(E_F) (states/eV per atom) = 0.602
# - ΔE_f (raw) (eV/atom) = -0.525
# - V (Å³ per cell) = 344.6
# - density (g cm⁻³) = 5.465

---

# MgPtS (PBE, relaxed)
data_MgPtS
_chemical_formula_sum 'Mg2 Pt2 S2'
_cell_length_a 4.389
_cell_length_b 5.020
_cell_length_c 5.314
_cell_angle_alpha 86.83
_cell_angle_beta 75.75
_cell_angle_gamma 72.29
_space_group_name_H-M_alt 'P -1'
_space_group_IT_number 2
loop_
_space_group_symop_operation_xyz
'x,y,z'
'-x,-y,-z'
loop_
_atom_site_label
_atom_site_type_symbol
_atom_site_fract_x
_atom_site_fract_y
_atom_site_fract_z
Mg1 Mg 0.123 0.231 0.213
Pt1 Pt 0.482 0.649 0.229
S1 S 0.095 0.205 0.700
# - D(E_F) (states/eV per atom) = 0.146
# - ΔE_f (raw) (eV/atom) = -0.624
# - V (Å³ per cell) = 108.1
# - density (g cm⁻³) = 7.727

---

# MgPtS (PBE, relaxed)
data_MgPtS
_chemical_formula_sum 'Mg4 Pt4 S4'
_cell_length_a 8.306
_cell_length_b 5.208
_cell_length_c 5.145
_cell_angle_alpha 90.00
_cell_angle_beta 105.24
_cell_angle_gamma 90.00
_space_group_name_H-M_alt 'C 1 2 1'
_space_group_IT_number 5
loop_
_space_group_symop_operation_xyz
'x,y,z'
'-x,y,-z'
'x+1/2,y+1/2,z'
'-x+1/2,y+1/2,-z'
loop_
_atom_site_label
_atom_site_type_symbol
_atom_site_fract_x
_atom_site_fract_y
_atom_site_fract_z
Mg1 Mg 0.198 0.000 0.238
Pt1 Pt 0.000 0.465 0.000
Pt2 Pt 0.000 0.733 0.500
S1 S 0.220 0.006 0.758
# - D(E_F) (states/eV per atom) = 0.015
# - ΔE_f (raw) (eV/atom) = -0.570
# - V (Å³ per cell) = 214.8
# - density (g cm⁻³) = 7.777

---

# MgPtS (PBE, relaxed)
data_MgPtS
_chemical_formula_sum 'Mg2 Pt2 S2'
_cell_length_a 3.595
_cell_length_b 5.380
_cell_length_c 5.624
_cell_angle_alpha 90.00
_cell_angle_beta 90.08
_cell_angle_gamma 90.00
_space_group_name_H-M_alt 'P 1 2/c 1'
_space_group_IT_number 13
loop_
_space_group_symop_operation_xyz
'x,y,z'
'-x,-y,-z'
'-x,y,-z+1/2'
'x,-y,z+1/2'
loop_
_atom_site_label
_atom_site_type_symbol
_atom_site_fract_x
_atom_site_fract_y
_atom_site_fract_z
Mg1 Mg 0.000 0.197 0.250
Pt1 Pt 0.500 0.500 0.000
S1 S 0.500 0.155 0.750
# - D(E_F) (states/eV per atom) = 0.119
# - ΔE_f (raw) (eV/atom) = -0.738
# - V (Å³ per cell) = 108.8
# - density (g cm⁻³) = 7.677

---

# MgPt3S (PBE, relaxed)
data_MgPt3S
_chemical_formula_sum 'Mg1 Pt3 S1'
_cell_length_a 4.536
_cell_length_b 4.536
_cell_length_c 4.536
_cell_angle_alpha 90.00
_cell_angle_beta 90.00
_cell_angle_gamma 90.00
_space_group_name_H-M_alt 'P m -3 m'
_space_group_IT_number 221
_space_group_name_Hall '-P 4 2 3'
loop_
_atom_site_label
_atom_site_type_symbol
_atom_site_fract_x
_atom_site_fract_y
_atom_site_fract_z
Mg1 Mg 0.000 0.000 0.000
Pt1 Pt 0.000 0.500 0.500
S1 S 0.500 0.500 0.500
# - D(E_F) (states/eV per atom) = 0.160
# - ΔE_f (raw) (eV/atom) = -0.026
# - V (Å³ per cell) = 93.3
# - density (g cm⁻³) = 11.418

---

# MgPtS (PBE, relaxed)
data_MgPtS
_chemical_formula_sum 'Mg2 Pt2 S2'
_cell_length_a 5.401
_cell_length_b 3.664
_cell_length_c 5.655
_cell_angle_alpha 90.00
_cell_angle_beta 94.43
_cell_angle_gamma 90.00
_space_group_name_H-M_alt 'P 1 21/m 1'
_space_group_IT_number 11
loop_
_space_group_symop_operation_xyz
'x,y,z'
'-x,-y,-z'
'-x,y+1/2,-z'
'x,-y+1/2,z'
loop_
_atom_site_label
_atom_site_type_symbol
_atom_site_fract_x
_atom_site_fract_y
_atom_site_fract_z
Mg1 Mg 0.224 0.250 0.347
Pt1 Pt 0.107 0.250 0.873
S1 S 0.305 0.750 0.676
# - D(E_F) (states/eV per atom) = 0.000
# - ΔE_f (raw) (eV/atom) = -0.771
# - V (Å³ per cell) = 111.6
# - density (g cm⁻³) = 7.484

---

Which value of V does entry 4 give?
120.5 Å³ per cell

---

Among the records above, which one has the highest density?
MgPt3S

---

Which value of density does entry 10 give?
7.677 g cm⁻³